1.
Computed, not measured: a geometry-optimized SrBeFeTe structure at the PBE level of DFT.

a b c (Å): 5.003 5.003 5.003
angles (deg): 60.00 60.00 60.00
Fractional coordinates of all 4 atoms:
Sr 0.000 0.000 0.000
Be 0.250 0.250 0.250
Fe 0.500 0.500 0.500
Te 0.750 0.750 0.750

Results
raw total energy = -15.0 eV for the cell shown



2.
Computed, not measured: a geometry-optimized SrBeFeW structure at the PBE level of DFT.

a b c (Å): 4.601 4.601 4.601
angles (deg): 60.00 60.00 60.00
Fractional coordinates of all 4 atoms:
Sr 0.000 0.000 0.000
Be 0.750 0.750 0.750
Fe 0.250 0.250 0.250
W 0.500 0.500 0.500

Results
raw total energy = -22.2 eV for the cell shown



3.
Computed, not measured: a geometry-optimized SrBeFeW structure at the PBE level of DFT.

a b c (Å): 4.583 4.583 4.583
angles (deg): 60.00 60.00 60.00
Fractional coordinates of all 4 atoms:
Sr 0.000 0.000 0.000
Be 0.500 0.500 0.500
Fe 0.250 0.250 0.250
W 0.750 0.750 0.750

Results
raw total energy = -20.7 eV for the cell shown



4.
Computed, not measured: a geometry-optimized SrBeFeW structure at the PBE level of DFT.

a b c (Å): 4.474 4.474 4.474
angles (deg): 60.00 60.00 60.00
Fractional coordinates of all 4 atoms:
Sr 0.000 0.000 0.000
Be 0.750 0.750 0.750
Fe 0.500 0.500 0.500
W 0.250 0.250 0.250

Results
raw total energy = -22.1 eV for the cell shown



5.
Computed, not measured: a geometry-optimized TaBeFe structure at the PBE level of DFT.

a b c (Å): 11.782 11.782 11.782
angles (deg): 23.06 23.06 23.06
Fractional coordinates of all 18 atoms:
Ta 0.041 0.041 0.041
Ta 0.181 0.181 0.181
Ta 0.265 0.265 0.265
Ta 0.735 0.735 0.735
Ta 0.819 0.819 0.819
Ta 0.959 0.959 0.959
Be 0.000 0.500 0.500
Be 0.387 0.387 0.387
Be 0.500 0.000 0.500
Be 0.500 0.500 0.000
Be 0.500 0.500 0.500
Be 0.613 0.613 0.613
Fe 0.223 0.723 0.723
Fe 0.277 0.277 0.777
Fe 0.277 0.777 0.277
Fe 0.723 0.223 0.723
Fe 0.723 0.723 0.223
Fe 0.777 0.277 0.277

Results
raw total energy = -147.8 eV for the cell shown



6.
Computed, not measured: a geometry-optimized Ta2Be2Fe structure at the PBE level of DFT.

a b c (Å): 6.096 6.096 3.324
angles (deg): 90.00 90.00 90.00
Fractional coordinates of all 10 atoms:
Ta 0.177 0.323 0.000
Ta 0.323 0.823 0.000
Ta 0.677 0.177 0.000
Ta 0.823 0.677 0.000
Be 0.122 0.622 0.500
Be 0.378 0.122 0.500
Be 0.622 0.878 0.500
Be 0.878 0.378 0.500
Fe 0.000 0.000 0.500
Fe 0.500 0.500 0.500

Results
raw total energy = -81.3 eV for the cell shown



7.
Computed, not measured: a geometry-optimized TaBeTlFe structure at the PBE level of DFT.

a b c (Å): 4.465 4.465 4.465
angles (deg): 60.00 60.00 60.00
Fractional coordinates of all 4 atoms:
Ta 0.000 0.000 0.000
Be 0.250 0.250 0.250
Tl 0.750 0.750 0.750
Fe 0.500 0.500 0.500

Results
raw total energy = -23.2 eV for the cell shown



8.
Computed, not measured: a geometry-optimized TaBeTlFe structure at the PBE level of DFT.

a b c (Å): 4.456 4.456 4.456
angles (deg): 60.00 60.00 60.00
Fractional coordinates of all 4 atoms:
Ta 0.000 0.000 0.000
Be 0.500 0.500 0.500
Tl 0.750 0.750 0.750
Fe 0.250 0.250 0.250

Results
raw total energy = -23.6 eV for the cell shown